# 1
Computed, not measured: LiMnSnS3 after structural relaxation at the PBE-GGA level of DFT.

Geometry as CIF:
```
data_LiMnSnS3
_chemical_formula_sum 'Li2 Mn2 Sn2 S6'
_cell_length_a 3.852
_cell_length_b 7.532
_cell_length_c 8.273
_cell_angle_alpha 106.60
_cell_angle_beta 90.00
_cell_angle_gamma 90.00
_space_group_name_H-M_alt 'P 1'
_space_group_IT_number 1
_space_group_name_Hall 'P 1'
loop_
_atom_site_label
_atom_site_fract_x
_atom_site_fract_y
_atom_site_fract_z
_atom_site_occupancy
S1 0.750 0.245 0.545 1
S2 0.250 0.107 0.873 1
S3 0.250 0.557 0.860 1
S4 0.750 0.443 0.140 1
S5 0.750 0.893 0.127 1
S6 0.250 0.755 0.455 1
Mn1 0.250 0.678 0.160 1
Mn2 0.750 0.322 0.840 1
Sn1 0.750 0.794 0.775 1
Sn2 0.250 0.206 0.225 1
Li1 0.250 0.092 0.587 1
Li2 0.750 0.908 0.413 1
```

Results
Space-group type   P2_1/m, No. 11
Spin magnetization   0.667 μB/atom
Raw formation energy   -613 meV/atom
Electronic total energy   -62.3 eV/cell

# 2
Computed, not measured: Li2MnSnS4 after structural relaxation at the PBE-GGA level of DFT.

Geometry as CIF:
```
data_Li2MnSnS4
_chemical_formula_sum 'Li8 Mn4 Sn4 S16'
_cell_length_a 6.483
_cell_length_b 8.047
_cell_length_c 13.742
_cell_angle_alpha 90.00
_cell_angle_beta 90.00
_cell_angle_gamma 90.00
_space_group_name_H-M_alt 'P 1'
_space_group_IT_number 1
_space_group_name_Hall 'P 1'
loop_
_atom_site_label
_atom_site_fract_x
_atom_site_fract_y
_atom_site_fract_z
_atom_site_occupancy
Mn1 0.137 0.494 0.166 1
Mn2 0.137 0.006 0.666 1
Mn3 0.637 0.506 0.834 1
Mn4 0.637 0.994 0.334 1
Sn1 0.136 0.243 0.414 1
Sn2 0.636 0.743 0.086 1
Sn3 0.636 0.757 0.586 1
Sn4 0.136 0.257 0.914 1
S1 0.761 0.258 0.911 1
S2 0.265 0.503 0.833 1
S3 0.765 0.003 0.667 1
S4 0.758 0.749 0.419 1
S5 0.257 0.492 0.332 1
S6 0.258 0.249 0.081 1
S7 0.257 0.008 0.832 1
S8 0.757 0.508 0.668 1
S9 0.261 0.742 0.089 1
S10 0.758 0.751 0.919 1
S11 0.265 0.997 0.333 1
S12 0.258 0.251 0.581 1
S13 0.761 0.242 0.411 1
S14 0.261 0.758 0.589 1
S15 0.765 0.497 0.167 1
S16 0.757 0.992 0.168 1
Li1 0.638 0.002 0.835 1
Li2 0.640 0.248 0.080 1
Li3 0.638 0.498 0.335 1
Li4 0.640 0.252 0.580 1
Li5 0.138 0.998 0.165 1
Li6 0.140 0.748 0.420 1
Li7 0.138 0.502 0.665 1
Li8 0.140 0.752 0.920 1
```

Results
Space-group type   Pna2_1, No. 33
Spin magnetization   0.625 μB/atom
Raw formation energy   -845 meV/atom
Electronic total energy   -161.1 eV/cell

# 3
Computed, not measured: Li2TaMnS4 after structural relaxation at the PBE-GGA level of DFT.

Geometry as CIF:
```
data_Li2TaMnS4
_chemical_formula_sum 'Li2 Ta1 Mn1 S4'
_cell_length_a 3.504
_cell_length_b 6.269
_cell_length_c 6.440
_cell_angle_alpha 108.62
_cell_angle_beta 90.00
_cell_angle_gamma 90.00
_space_group_name_H-M_alt 'P 1'
_space_group_IT_number 1
_space_group_name_Hall 'P 1'
loop_
_atom_site_label
_atom_site_fract_x
_atom_site_fract_y
_atom_site_fract_z
_atom_site_occupancy
Li1 0.000 0.500 0.500 1
Li2 0.500 0.000 0.500 1
Ta1 0.500 0.500 0.000 1
S1 0.000 0.741 0.243 1
S2 0.500 0.252 0.233 1
S3 0.000 0.259 0.757 1
S4 0.500 0.748 0.767 1
Mn1 0.000 0.000 0.000 1
```

Results
Space-group type   P2/m, No. 10
Spin magnetization   0.547 μB/atom
Raw formation energy   -994 meV/atom
Electronic total energy   -49.3 eV/cell